KRh3Cl: optimized geometry, PBE.

```
KRh3Cl
1.0
-3.035 -2.734 2.055
2.796 -0.401 3.596
-1.970 3.643 1.938
K Rh Cl
1 3 1
direct
0.500 0.500 0.500 K
0.000 0.000 0.500 Rh
0.500 0.000 0.000 Rh
0.000 0.500 0.000 Rh
0.000 0.000 0.000 Cl
```

- ΔE to the lowest computed polymorph (meV per atom) = 0
- energy relative to the elements, uncorrected (eV per atom) = 0.713
- SG = No. 221

Ac2DySi3Rh4: optimized geometry, PBE.

```
Ac2DySi3Rh4
1.0
4.248 0.000 0.000
0.000 4.248 0.000
0.000 0.000 11.067
Ac Rh Si Dy
2 4 3 1
direct
0.000 0.500 0.764 Ac
0.500 0.000 0.236 Ac
0.500 0.000 0.660 Rh
0.000 0.500 0.340 Rh
0.500 0.500 0.000 Rh
0.000 0.000 0.000 Rh
0.500 0.000 0.886 Si
0.000 0.500 0.114 Si
0.000 0.000 0.500 Si
0.500 0.500 0.500 Dy
```

- energy relative to the elements, uncorrected (eV per atom) = -0.927
- SG = No. 115

DyGaHg2: optimized geometry, PBE.

```
DyGaHg2
1.0
4.683 0.000 0.000
0.000 6.118 0.516
0.000 -0.536 6.305
Hg Ga Dy
4 2 2
direct
0.250 0.161 0.508 Hg
0.750 0.840 0.009 Hg
0.750 0.839 0.492 Hg
0.250 0.160 0.991 Hg
0.750 0.273 0.250 Ga
0.250 0.727 0.750 Ga
0.750 0.393 0.750 Dy
0.250 0.607 0.250 Dy
```

- energy of formation from the pure elements (meV per atom) = -354.2
- SG = No. 59

RbLiSi2N: optimized geometry, PBE.

```
RbLiSi2N
1.0
4.335 0.000 0.000
0.000 4.946 0.000
0.000 0.000 4.335
Si N Rb Li
2 1 1 1
direct
0.000 0.000 0.500 Si
0.500 0.000 0.000 Si
0.000 0.000 0.000 N
0.500 0.500 0.500 Rb
0.000 0.500 0.000 Li
```

- energy relative to the elements, uncorrected (eV per atom) = 0.728
- SG = No. 123

CaCd2P2: optimized geometry, PBE.

```
CaCd2P2
1.0
-1.545 3.172 3.460
3.124 -2.023 3.250
4.146 3.644 2.039
Ca Cd P
1 2 2
direct
0.000 0.000 0.000 Ca
0.355 0.355 0.290 Cd
0.645 0.645 0.710 Cd
0.250 0.750 0.500 P
0.750 0.250 0.500 P
```

- ΔE to the lowest computed polymorph (meV per atom) = 420
- energy of formation from the pure elements (meV per atom) = -147.9
- SG = No. 139

Pr2Ga3CuNi4: optimized geometry, PBE.

```
Pr2Ga3CuNi4
1.0
-1.095 1.070 3.855
-3.099 -2.755 -0.116
6.058 -6.967 3.654
Ga Pr Ni Cu
3 2 4 1
direct
0.000 0.000 0.500 Ga
0.000 0.500 0.124 Ga
0.500 0.000 0.876 Ga
0.000 0.500 0.750 Pr
0.500 0.000 0.250 Pr
0.500 0.000 0.632 Ni
0.000 0.000 0.000 Ni
0.000 0.500 0.368 Ni
0.500 0.500 0.000 Ni
0.500 0.500 0.500 Cu
```

- energy of formation from the pure elements (meV per atom) = -458.2
- SG = No. 115

RbSrLi: optimized geometry, PBE.

```
RbSrLi
1.0
-4.138 2.341 0.532
-1.284 -0.840 -4.531
0.499 -14.088 9.130
Rb Sr Li
2 2 2
direct
0.083 0.083 0.368 Rb
0.917 0.917 0.632 Rb
0.296 0.296 0.138 Sr
0.704 0.704 0.862 Sr
0.277 0.277 0.927 Li
0.723 0.723 0.073 Li
```

- ΔE to the lowest computed polymorph (meV per atom) = 0
- energy of formation from the pure elements (meV per atom) = 115.5
- SG = No. 12

CdHg2Pt2: optimized geometry, PBE.

```
CdHg2Pt2
1.0
8.073 0.000 0.000
0.000 8.073 0.000
0.000 0.000 3.039
Hg Cd Pt
4 2 4
direct
0.633 0.133 0.000 Hg
0.133 0.367 0.000 Hg
0.867 0.633 0.000 Hg
0.367 0.867 0.000 Hg
0.000 0.000 0.000 Cd
0.500 0.500 0.000 Cd
0.666 0.834 0.500 Pt
0.166 0.666 0.500 Pt
0.334 0.166 0.500 Pt
0.834 0.334 0.500 Pt
```

- ΔE to the lowest computed polymorph (meV per atom) = 131
- energy of formation from the pure elements (meV per atom) = 57.6
- SG = No. 127

BeTl2PSe4: optimized geometry, PBE.

```
BeTl2PSe4
1.0
7.459 -0.370 -0.009
-0.368 6.674 -0.001
-3.544 -3.149 4.224
Tl Se P Be
2 4 1 1
direct
0.461 0.961 0.922 Tl
0.193 0.193 0.387 Tl
0.727 0.612 0.742 Se
0.365 0.801 0.277 Se
0.912 0.476 0.277 Se
0.014 0.130 0.742 Se
0.718 0.718 0.436 P
0.996 0.496 0.992 Be
```

- energy relative to the elements, uncorrected (eV per atom) = -0.285
- SG = No. 5

NaPa2Te5: optimized geometry, PBE.

```
NaPa2Te5
1.0
-1.292 7.272 -3.756
-6.242 -3.335 -4.311
-0.995 -0.029 9.428
Pa Na Te
4 2 10
direct
0.651 0.151 0.000 Pa
0.849 0.651 0.000 Pa
0.349 0.849 0.000 Pa
0.151 0.349 0.000 Pa
0.750 0.750 0.500 Na
0.250 0.250 0.500 Na
0.216 0.014 0.730 Te
0.514 0.716 0.730 Te
0.500 0.500 0.000 Te
0.986 0.486 0.270 Te
0.716 0.216 0.730 Te
0.784 0.986 0.270 Te
0.014 0.514 0.730 Te
0.486 0.284 0.270 Te
0.284 0.784 0.270 Te
0.000 0.000 0.000 Te
```

- energy relative to the elements, uncorrected (eV per atom) = -0.858
- SG = No. 140

LiCaZr2V: optimized geometry, PBE.

```
LiCaZr2V
1.0
5.214 0.000 0.000
0.000 4.069 0.000
0.000 0.000 5.214
V Li Zr Ca
1 1 2 1
direct
0.500 0.500 0.500 V
0.000 0.500 0.000 Li
0.000 0.000 0.500 Zr
0.500 0.000 0.000 Zr
0.000 0.000 0.000 Ca
```

- energy of formation from the pure elements (meV per atom) = 1578.2
- SG = No. 123

SnGePbBr6: optimized geometry, PBE.

```
SnGePbBr6
1.0
7.003 0.000 0.000
0.000 7.003 0.000
0.000 0.000 13.199
Br Sn Pb Ge
12 2 2 2
direct
0.808 0.192 0.493 Br
0.303 0.303 0.677 Br
0.213 0.787 0.831 Br
0.197 0.803 0.177 Br
0.192 0.808 0.493 Br
0.287 0.287 0.331 Br
0.697 0.697 0.677 Br
0.713 0.713 0.331 Br
0.692 0.692 0.993 Br
0.787 0.213 0.831 Br
0.308 0.308 0.993 Br
0.803 0.197 0.177 Br
0.000 0.000 0.668 Sn
0.500 0.500 0.168 Sn
0.000 0.000 0.999 Pb
0.500 0.500 0.499 Pb
0.000 0.000 0.333 Ge
0.500 0.500 0.833 Ge
```

- energy relative to the elements, uncorrected (eV per atom) = -0.720
- SG = No. 102

Number 1: Fermi-level density of states 8.41 states/eV/f.u., total moment 1.18 μB per cell, calculated density 6.655 g cm⁻³. Number 2: Fermi-level density of states 6.32 states/eV/f.u., total moment 0.00 μB per cell, calculated density 9.248 g cm⁻³. Number 3: Fermi-level density of states 2.13 states/eV/f.u., total moment 0.00 μB per cell, calculated density 11.560 g cm⁻³. Number 4: Fermi-level density of states 3.96 states/eV/f.u., total moment 0.00 μB per cell, calculated density 2.905 g cm⁻³. Number 5: Fermi-level density of states 2.95 states/eV/f.u., total moment 0.00 μB per cell, calculated density 4.695 g cm⁻³. Number 6: Fermi-level density of states 6.14 states/eV/f.u., total moment 0.00 μB per cell, calculated density 7.671 g cm⁻³. Number 7: Fermi-level density of states 2.43 states/eV/f.u., total moment 0.00 μB per cell, calculated density 1.823 g cm⁻³. Number 8: Fermi-level density of states 1.52 states/eV/f.u., total moment 0.00 μB per cell, calculated density 15.154 g cm⁻³. Number 9: Fermi-level density of states 1.58 states/eV/f.u., total moment 0.00 μB per cell, calculated density 6.061 g cm⁻³. Number 10: Fermi-level density of states 0.30 states/eV/f.u., total moment 2.14 μB per cell, calculated density 7.289 g cm⁻³. Number 11: Fermi-level density of states 3.54 states/eV/f.u., total moment 1.94 μB per cell, calculated density 4.208 g cm⁻³. Number 12: Fermi-level density of states 0.00 states/eV/f.u., total moment 0.00 μB per cell, calculated density 4.504 g cm⁻³.